# LiNbTc2

An optimized crystal structure of LiNbTc2 (PBE-GGA, OQMD). Values from VASP.

Properties
* spin magnetization: 0.007 μB/f.u.
* theoretical density: 8.3 g/cm³
* symmetry: F-43m (216)
* calculated total energy: -32.1 eV/f.u.

Quantum ESPRESSO input file:
```
&SYSTEM
  ibrav = 0, nat = 4, ntyp = 3
/
ATOMIC_SPECIES
Tc 98.00 Tc.upf
Li 6.94 Li.upf
Nb 92.91 Nb.upf
ATOMIC_POSITIONS crystal
Tc 0.750 0.750 0.750
Tc 0.000 0.000 0.000
Li 0.500 0.500 0.500
Nb 0.250 0.250 0.250
CELL_PARAMETERS angstrom
0.000 3.091 3.091
3.091 0.000 3.091
3.091 3.091 0.000
```